# 1
This record from OQMD via LeMat-Bulk describes a relaxed TeAsWAu crystal. The functional is PBE.

Cell lengths 6.7648, 6.7648, 6.7648 Å; angles 90.00, 90.00, 90.00 degrees
Element x y z (fractional)
1 Te 0.0000 0.0000 0.0000
2 Te 0.0000 0.5000 0.5000
3 Te 0.5000 0.0000 0.5000
4 Te 0.5000 0.5000 0.0000
5 As 0.2500 0.2500 0.2500
6 As 0.2500 0.7500 0.7500
7 As 0.7500 0.2500 0.7500
8 As 0.7500 0.7500 0.2500
9 W 0.0000 0.0000 0.5000
10 W 0.0000 0.5000 0.0000
11 W 0.5000 0.0000 0.0000
12 W 0.5000 0.5000 0.5000
13 Au 0.2500 0.2500 0.7500
14 Au 0.2500 0.7500 0.2500
15 Au 0.7500 0.2500 0.2500
16 Au 0.7500 0.7500 0.7500

Output
- DFT total energy (eV per atom) = -5.08
- calculated volume (A^3/atom) = 19.35
- M_tot (μB/f.u.) = 0.2
- polymorph energy (0 for the lowest one) (eV per atom) = 0.2027

=====

# 2
This record from OQMD via LeMat-Bulk describes a relaxed RbPuAgSe3 crystal. The functional is PBE.

Cell lengths 7.9153, 7.9153, 10.8291 Å; angles 90.00, 90.00, 148.55 degrees
Element x y z (fractional)
1 Rb 0.2479 0.7521 0.7500
2 Rb 0.7521 0.2479 0.2500
3 Pu 0.5000 0.5000 0.0000
4 Pu 0.5000 0.5000 0.5000
5 Ag 0.0370 0.9630 0.2500
6 Ag 0.9630 0.0370 0.7500
7 Se 0.1215 0.8785 0.0405
8 Se 0.1215 0.8785 0.4595
9 Se 0.4335 0.5665 0.2500
10 Se 0.5665 0.4335 0.7500
11 Se 0.8785 0.1215 0.5405
12 Se 0.8785 0.1215 0.9595

Output
- DFT total energy (eV per atom) = -5.83
- calculated volume (A^3/atom) = 29.50
- M_tot (μB/f.u.) = 4.0

=====

# 3
This record from OQMD via LeMat-Bulk describes a relaxed LiNiAsAu crystal. The functional is PBE.

Cell lengths 6.1237, 6.1237, 6.1237 Å; angles 90.00, 90.00, 90.00 degrees
Element x y z (fractional)
1 Li 0.0000 0.0000 0.0000
2 Li 0.0000 0.5000 0.5000
3 Li 0.5000 0.0000 0.5000
4 Li 0.5000 0.5000 0.0000
5 Ni 0.0000 0.0000 0.5000
6 Ni 0.0000 0.5000 0.0000
7 Ni 0.5000 0.0000 0.0000
8 Ni 0.5000 0.5000 0.5000
9 As 0.2500 0.2500 0.2500
10 As 0.2500 0.7500 0.7500
11 As 0.7500 0.2500 0.7500
12 As 0.7500 0.7500 0.2500
13 Au 0.2500 0.2500 0.7500
14 Au 0.2500 0.7500 0.2500
15 Au 0.7500 0.2500 0.2500
16 Au 0.7500 0.7500 0.7500

Output
- DFT total energy (eV per atom) = -4.08
- calculated volume (A^3/atom) = 14.35
- M_tot (μB/f.u.) = 0.0

=====

# 4
This record from OQMD via LeMat-Bulk describes a relaxed TaTlCoPt crystal. The functional is PBE.

Cell lengths 6.4370, 6.4370, 6.4370 Å; angles 90.00, 90.00, 90.00 degrees
Element x y z (fractional)
1 Ta 0.0000 0.0000 0.0000
2 Ta 0.0000 0.5000 0.5000
3 Ta 0.5000 0.0000 0.5000
4 Ta 0.5000 0.5000 0.0000
5 Tl 0.0000 0.0000 0.5000
6 Tl 0.0000 0.5000 0.0000
7 Tl 0.5000 0.0000 0.0000
8 Tl 0.5000 0.5000 0.5000
9 Co 0.2500 0.2500 0.7500
10 Co 0.2500 0.7500 0.2500
11 Co 0.7500 0.2500 0.2500
12 Co 0.7500 0.7500 0.7500
13 Pt 0.2500 0.2500 0.2500
14 Pt 0.2500 0.7500 0.7500
15 Pt 0.7500 0.2500 0.7500
16 Pt 0.7500 0.7500 0.2500

Output
- DFT total energy (eV per atom) = -6.73
- calculated volume (A^3/atom) = 16.67
- M_tot (μB/f.u.) = 1.2
- polymorph energy (0 for the lowest one) (eV per atom) = 0.0000

=====

# 5
This record from OQMD via LeMat-Bulk describes a relaxed RbLuMgTe3 crystal. The functional is PBE.

Cell lengths 9.8498, 4.4801, 10.8758 Å; angles 90.00, 110.05, 90.00 degrees
Element x y z (fractional)
1 Rb 0.2183 0.2500 0.2442
2 Rb 0.7817 0.7500 0.7558
3 Lu 0.3302 0.7500 0.8682
4 Lu 0.6698 0.2500 0.1318
5 Mg 0.0835 0.2500 0.6116
6 Mg 0.9165 0.7500 0.3884
7 Te 0.1163 0.2500 0.8722
8 Te 0.2176 0.7500 0.5469
9 Te 0.4720 0.7500 0.1590
10 Te 0.5280 0.2500 0.8410
11 Te 0.7824 0.2500 0.4531
12 Te 0.8837 0.7500 0.1278

Output
- DFT total energy (eV per atom) = -3.92
- calculated volume (A^3/atom) = 37.57
- M_tot (μB/f.u.) = 0.0
- polymorph energy (0 for the lowest one) (eV per atom) = 0.0045

=====

# 6
This record from OQMD via LeMat-Bulk describes a relaxed HoTlHgTe3 crystal. The functional is PBE.

Cell lengths 8.8997, 4.6696, 18.4347 Å; angles 90.00, 90.00, 90.00 degrees
Element x y z (fractional)
1 Ho 0.2269 0.2500 0.0396
2 Ho 0.2731 0.7500 0.5396
3 Ho 0.7269 0.2500 0.4604
4 Ho 0.7731 0.7500 0.9604
5 Tl 0.0665 0.2500 0.8049
6 Tl 0.4335 0.7500 0.3049
7 Tl 0.5665 0.2500 0.6951
8 Tl 0.9335 0.7500 0.1951
9 Hg 0.0649 0.2500 0.3392
10 Hg 0.4351 0.7500 0.8392
11 Hg 0.5649 0.2500 0.1608
12 Hg 0.9351 0.7500 0.6608
13 Te 0.0042 0.2500 0.5723
14 Te 0.1251 0.7500 0.9433
15 Te 0.2256 0.2500 0.2063
16 Te 0.2744 0.7500 0.7063
17 Te 0.3749 0.2500 0.4433
18 Te 0.4958 0.7500 0.0723
19 Te 0.5042 0.2500 0.9277
20 Te 0.6251 0.7500 0.5567
21 Te 0.7256 0.2500 0.2937
22 Te 0.7744 0.7500 0.7937
23 Te 0.8749 0.2500 0.0567
24 Te 0.9958 0.7500 0.4277

Output
- DFT total energy (eV per atom) = -3.40
- calculated volume (A^3/atom) = 31.92
- M_tot (μB/f.u.) = 0.0
- polymorph energy (0 for the lowest one) (eV per atom) = 0.0887

=====

# 7
This record from OQMD via LeMat-Bulk describes a relaxed TaGeNO crystal. The functional is PBE.

Cell lengths 5.7551, 6.1383, 5.5371 Å; angles 90.00, 90.00, 90.00 degrees
Element x y z (fractional)
1 Ta 0.0672 0.0628 0.0000
2 Ta 0.4328 0.0628 0.5000
3 Ta 0.5672 0.9372 0.0000
4 Ta 0.9328 0.9372 0.5000
5 Ge 0.1172 0.6402 0.8369
6 Ge 0.3828 0.6402 0.3369
7 Ge 0.6172 0.3598 0.8369
8 Ge 0.8828 0.3598 0.3369
9 N 0.0810 0.5821 0.4824
10 N 0.4190 0.5821 0.9824
11 N 0.5810 0.4179 0.4824
12 N 0.9190 0.4179 0.9824
13 O 0.1293 0.1735 0.6570
14 O 0.3707 0.1735 0.1570
15 O 0.6293 0.8265 0.6570
16 O 0.8707 0.8265 0.1570

Output
- DFT total energy (eV per atom) = -8.16
- calculated volume (A^3/atom) = 12.23
- M_tot (μB/f.u.) = 0.0
- polymorph energy (0 for the lowest one) (eV per atom) = 0.2184

=====

# 8
This record from OQMD via LeMat-Bulk describes a relaxed CsOsPd crystal. The functional is PBE.

Cell lengths 6.7339, 6.7339, 6.7339 Å; angles 90.00, 90.00, 90.00 degrees
Element x y z (fractional)
1 Cs 0.0000 0.0000 0.0000
2 Cs 0.0000 0.5000 0.5000
3 Cs 0.5000 0.0000 0.5000
4 Cs 0.5000 0.5000 0.0000
5 Os 0.2500 0.2500 0.2500
6 Os 0.2500 0.7500 0.7500
7 Os 0.7500 0.2500 0.7500
8 Os 0.7500 0.7500 0.2500
9 Pd 0.0000 0.0000 0.5000
10 Pd 0.0000 0.5000 0.0000
11 Pd 0.5000 0.0000 0.0000
12 Pd 0.5000 0.5000 0.5000

Output
- DFT total energy (eV per atom) = -3.88
- calculated volume (A^3/atom) = 25.45
- M_tot (μB/f.u.) = 2.5
- polymorph energy (0 for the lowest one) (eV per atom) = 0.0000

=====

# 9
This record from OQMD via LeMat-Bulk describes a relaxed HfB crystal. The functional is PBE.

Cell lengths 3.2096, 3.2096, 3.2942 Å; angles 90.00, 90.00, 120.00 degrees
Element x y z (fractional)
1 Hf 0.0000 0.0000 0.0000
2 B 0.3333 0.6667 0.5000

Output
- DFT total energy (eV per atom) = -8.09
- calculated volume (A^3/atom) = 14.69
- M_tot (μB/f.u.) = 0.0

=====

# 10
This record from OQMD via LeMat-Bulk describes a relaxed TlReAuS3 crystal. The functional is PBE.

Cell lengths 8.4174, 8.4174, 9.3621 Å; angles 90.00, 90.00, 157.50 degrees
Element x y z (fractional)
1 Tl 0.1814 0.8186 0.7500
2 Tl 0.8186 0.1814 0.2500
3 Re 0.5000 0.5000 0.0000
4 Re 0.5000 0.5000 0.5000
5 Au 0.1713 0.8287 0.2500
6 Au 0.8287 0.1713 0.7500
7 S 0.1051 0.8949 0.0244
8 S 0.1051 0.8949 0.4756
9 S 0.4669 0.5331 0.2500
10 S 0.5331 0.4669 0.7500
11 S 0.8949 0.1051 0.5244
12 S 0.8949 0.1051 0.9756

Output
- DFT total energy (eV per atom) = -5.17
- calculated volume (A^3/atom) = 21.15
- M_tot (μB/f.u.) = 0.0